(1)
# La2MnAs4Pd3 | Alexandria via LeMat-Bulk | GGA-PBE | optimized geometry
data_La2MnAs4Pd3
_chemical_formula_sum 'La2 Mn1 As4 Pd3'
_cell_length_a 4.432
_cell_length_b 4.432
_cell_length_c 10.177
_cell_angle_alpha 90.00
_cell_angle_beta 90.00
_cell_angle_gamma 90.00
_symmetry_space_group_name_H-M 'P -4 m 2'
_symmetry_Int_Tables_number 115
loop_
_symmetry_equiv_pos_as_xyz
'x,y,z'
'y,-x,-z'
'-x,-y,z'
'-y,x,-z'
'-x,y,z'
'-y,-x,-z'
'x,-y,z'
'y,x,-z'
loop_
_atom_site_label
_atom_site_fract_x
_atom_site_fract_y
_atom_site_fract_z
_atom_site_occupancy
La1 0.000 0.500 0.242 1
Mn1 0.000 0.000 0.500 1
As1 0.000 0.000 0.000 1
As2 0.000 0.500 0.631 1
As3 0.500 0.500 0.000 1
Pd1 0.000 0.500 0.878 1
Pd2 0.500 0.500 0.500 1
# * final energy: -6.18 eV/atom
# * E_form: -83.27 kJ per mole of atoms

(2)
# La2MnAs3Pd4 | Alexandria via LeMat-Bulk | GGA-PBE | optimized geometry
data_La2MnAs3Pd4
_chemical_formula_sum 'La2 Mn1 As3 Pd4'
_cell_length_a 4.300
_cell_length_b 4.300
_cell_length_c 10.702
_cell_angle_alpha 90.00
_cell_angle_beta 90.00
_cell_angle_gamma 90.00
_symmetry_space_group_name_H-M 'P -4 m 2'
_symmetry_Int_Tables_number 115
loop_
_symmetry_equiv_pos_as_xyz
'x,y,z'
'y,-x,-z'
'-x,-y,z'
'-y,x,-z'
'-x,y,z'
'-y,-x,-z'
'x,-y,z'
'y,x,-z'
loop_
_atom_site_label
_atom_site_fract_x
_atom_site_fract_y
_atom_site_fract_z
_atom_site_occupancy
La1 0.000 0.500 0.238 1
Mn1 0.000 0.000 0.500 1
As1 0.000 0.500 0.865 1
As2 0.500 0.500 0.500 1
Pd1 0.000 0.000 0.000 1
Pd2 0.000 0.500 0.633 1
Pd3 0.500 0.500 0.000 1
# * final energy: -6.20 eV/atom
# * E_form: -79.91 kJ per mole of atoms

(3)
# La2MnAsPt | Alexandria via LeMat-Bulk | GGA-PBE | optimized geometry
data_La2MnAsPt
_chemical_formula_sum 'La2 Mn1 As1 Pt1'
_cell_length_a 5.725
_cell_length_b 5.725
_cell_length_c 4.649
_cell_angle_alpha 90.00
_cell_angle_beta 90.00
_cell_angle_gamma 90.00
_symmetry_space_group_name_H-M 'P 4/m m m'
_symmetry_Int_Tables_number 123
_symmetry_space_group_name_Hall '-P 4 2'
loop_
_atom_site_label
_atom_site_fract_x
_atom_site_fract_y
_atom_site_fract_z
_atom_site_occupancy
La1 0.000 0.500 0.000 1
Mn1 0.000 0.000 0.500 1
As1 0.500 0.500 0.000 1
Pt1 0.500 0.500 0.500 1
# * final energy: -6.01 eV/atom
# * E_form: -6.85 kJ per mole of atoms

(4)
# La2MnAs4Pt3 | Alexandria via LeMat-Bulk | GGA-PBE | optimized geometry
data_La2MnAs4Pt3
_chemical_formula_sum 'La2 Mn1 As4 Pt3'
_cell_length_a 4.451
_cell_length_b 4.451
_cell_length_c 10.103
_cell_angle_alpha 90.00
_cell_angle_beta 90.00
_cell_angle_gamma 90.00
_symmetry_space_group_name_H-M 'P -4 m 2'
_symmetry_Int_Tables_number 115
loop_
_symmetry_equiv_pos_as_xyz
'x,y,z'
'y,-x,-z'
'-x,-y,z'
'-y,x,-z'
'-x,y,z'
'-y,-x,-z'
'x,-y,z'
'y,x,-z'
loop_
_atom_site_label
_atom_site_fract_x
_atom_site_fract_y
_atom_site_fract_z
_atom_site_occupancy
La1 0.000 0.500 0.245 1
Mn1 0.000 0.000 0.500 1
As1 0.000 0.000 0.000 1
As2 0.000 0.500 0.631 1
As3 0.500 0.500 0.000 1
Pt1 0.000 0.500 0.880 1
Pt2 0.500 0.500 0.500 1
# * final energy: -6.46 eV/atom
# * E_form: -85.83 kJ per mole of atoms

(5)
# LaMnAs2Ru | Alexandria via LeMat-Bulk | GGA-PBE | optimized geometry
data_LaMnAs2Ru
_chemical_formula_sum 'La2 Mn2 As4 Ru2'
_cell_length_a 3.980
_cell_length_b 3.980
_cell_length_c 12.136
_cell_angle_alpha 90.00
_cell_angle_beta 90.00
_cell_angle_gamma 90.00
_symmetry_space_group_name_H-M 'I -4 m 2'
_symmetry_Int_Tables_number 119
_symmetry_space_group_name_Hall 'I -4 -2'
loop_
_atom_site_label
_atom_site_fract_x
_atom_site_fract_y
_atom_site_fract_z
_atom_site_occupancy
La1 0.000 0.000 0.000 1
Mn1 0.000 0.500 0.250 1
As1 0.000 0.000 0.370 1
Ru1 0.000 0.500 0.750 1
# * final energy: -7.25 eV/atom
# * E_form: -69.04 kJ per mole of atoms

(6)
# La2MnAsS | Alexandria via LeMat-Bulk | GGA-PBE | optimized geometry
data_La2MnAsS
_chemical_formula_sum 'La2 Mn1 As1 S1'
_cell_length_a 5.434
_cell_length_b 5.434
_cell_length_c 4.788
_cell_angle_alpha 90.00
_cell_angle_beta 90.00
_cell_angle_gamma 90.00
_symmetry_space_group_name_H-M 'P 4/m m m'
_symmetry_Int_Tables_number 123
_symmetry_space_group_name_Hall '-P 4 2'
loop_
_atom_site_label
_atom_site_fract_x
_atom_site_fract_y
_atom_site_fract_z
_atom_site_occupancy
La1 0.000 0.500 0.000 1
Mn1 0.000 0.000 0.500 1
As1 0.500 0.500 0.500 1
S1 0.500 0.500 0.000 1
# * final energy: -5.41 eV/atom

(7)
# LaMnSb2As | Alexandria via LeMat-Bulk | GGA-PBE | optimized geometry
data_LaMnSb2As
_chemical_formula_sum 'La1 Mn1 Sb2 As1'
_cell_length_a 5.347
_cell_length_b 5.347
_cell_length_c 5.560
_cell_angle_alpha 90.00
_cell_angle_beta 90.00
_cell_angle_gamma 90.00
_symmetry_space_group_name_H-M 'P 4/m m m'
_symmetry_Int_Tables_number 123
_symmetry_space_group_name_Hall '-P 4 2'
loop_
_atom_site_label
_atom_site_fract_x
_atom_site_fract_y
_atom_site_fract_z
_atom_site_occupancy
La1 0.000 0.000 0.000 1
Mn1 0.500 0.500 0.000 1
Sb1 0.000 0.500 0.500 1
As1 0.000 0.000 0.500 1
# * final energy: -4.49 eV/atom

(8)
# LaSc2MnAs | Alexandria via LeMat-Bulk | GGA-PBE | optimized geometry
data_LaSc2MnAs
_chemical_formula_sum 'La1 Sc2 Mn1 As1'
_cell_length_a 5.202
_cell_length_b 5.202
_cell_length_c 4.353
_cell_angle_alpha 90.00
_cell_angle_beta 90.00
_cell_angle_gamma 90.00
_symmetry_space_group_name_H-M 'P 4/m m m'
_symmetry_Int_Tables_number 123
_symmetry_space_group_name_Hall '-P 4 2'
loop_
_atom_site_label
_atom_site_fract_x
_atom_site_fract_y
_atom_site_fract_z
_atom_site_occupancy
La1 0.000 0.000 0.000 1
Sc1 0.000 0.500 0.000 1
Mn1 0.000 0.000 0.500 1
As1 0.500 0.500 0.500 1
# * final energy: -5.26 eV/atom
# * E_form: 98.45 kJ per mole of atoms

(9)
# LaMnAsSe2 | Alexandria via LeMat-Bulk | GGA-PBE | optimized geometry
data_LaMnAsSe2
_chemical_formula_sum 'La1 Mn1 As1 Se2'
_cell_length_a 4.934
_cell_length_b 4.934
_cell_length_c 4.744
_cell_angle_alpha 90.00
_cell_angle_beta 90.00
_cell_angle_gamma 90.00
_symmetry_space_group_name_H-M 'P 4/m m m'
_symmetry_Int_Tables_number 123
_symmetry_space_group_name_Hall '-P 4 2'
loop_
_atom_site_label
_atom_site_fract_x
_atom_site_fract_y
_atom_site_fract_z
_atom_site_occupancy
La1 0.000 0.000 0.000 1
Mn1 0.500 0.500 0.500 1
As1 0.500 0.500 0.000 1
Se1 0.000 0.500 0.500 1
# * final energy: -5.94 eV/atom

(10)
# SrLaMn2As | Alexandria via LeMat-Bulk | GGA-PBE | optimized geometry
data_SrLaMn2As
_chemical_formula_sum 'Sr1 La1 Mn2 As1'
_cell_length_a 5.287
_cell_length_b 5.287
_cell_length_c 5.778
_cell_angle_alpha 90.00
_cell_angle_beta 90.00
_cell_angle_gamma 90.00
_symmetry_space_group_name_H-M 'P 4/m m m'
_symmetry_Int_Tables_number 123
_symmetry_space_group_name_Hall '-P 4 2'
loop_
_atom_site_label
_atom_site_fract_x
_atom_site_fract_y
_atom_site_fract_z
_atom_site_occupancy
Sr1 0.000 0.000 0.000 1
La1 0.500 0.500 0.500 1
Mn1 0.000 0.500 0.500 1
As1 0.500 0.500 0.000 1
# * final energy: -5.29 eV/atom
# * E_form: 60.69 kJ per mole of atoms

(11)
# LaMnAsW2 | Alexandria via LeMat-Bulk | GGA-PBE | optimized geometry
data_LaMnAsW2
_chemical_formula_sum 'La1 Mn1 As1 W2'
_cell_length_a 4.488
_cell_length_b 4.488
_cell_length_c 5.445
_cell_angle_alpha 90.00
_cell_angle_beta 90.00
_cell_angle_gamma 90.00
_symmetry_space_group_name_H-M 'P 4/m m m'
_symmetry_Int_Tables_number 123
_symmetry_space_group_name_Hall '-P 4 2'
loop_
_atom_site_label
_atom_site_fract_x
_atom_site_fract_y
_atom_site_fract_z
_atom_site_occupancy
La1 0.000 0.000 0.000 1
Mn1 0.000 0.000 0.500 1
As1 0.500 0.500 0.000 1
W1 0.000 0.500 0.500 1
# * final energy: -8.02 eV/atom
# * E_form: 87.49 kJ per mole of atoms

(12)
# La2MoAs | Alexandria via LeMat-Bulk | GGA-PBE | optimized geometry
data_La2MoAs
_chemical_formula_sum 'La4 Mo2 As2'
_cell_length_a 4.420
_cell_length_b 4.420
_cell_length_c 10.119
_cell_angle_alpha 90.00
_cell_angle_beta 90.00
_cell_angle_gamma 90.00
_symmetry_space_group_name_H-M 'I -4 m 2'
_symmetry_Int_Tables_number 119
_symmetry_space_group_name_Hall 'I -4 -2'
loop_
_atom_site_label
_atom_site_fract_x
_atom_site_fract_y
_atom_site_fract_z
_atom_site_occupancy
La1 0.000 0.000 0.000 1
La2 0.000 0.500 0.250 1
Mo1 0.000 0.500 0.750 1
As1 0.000 0.000 0.500 1
# * final energy: -6.38 eV/atom
# * E_form: -4.33 kJ per mole of atoms

(13)
# La2MoAs | Alexandria via LeMat-Bulk | GGA-PBE | optimized geometry
data_La2MoAs
_chemical_formula_sum 'La8 Mo4 As4'
_cell_length_a 7.126
_cell_length_b 7.126
_cell_length_c 7.126
_cell_angle_alpha 90.00
_cell_angle_beta 90.00
_cell_angle_gamma 90.00
_symmetry_space_group_name_H-M 'F -4 3 m'
_symmetry_Int_Tables_number 216
_symmetry_space_group_name_Hall 'F -4 2 3'
loop_
_atom_site_label
_atom_site_fract_x
_atom_site_fract_y
_atom_site_fract_z
_atom_site_occupancy
La1 0.000 0.000 0.000 1
La2 0.250 0.250 0.250 1
Mo1 0.250 0.250 0.750 1
As1 0.000 0.000 0.500 1
# * final energy: -6.27 eV/atom
# * E_form: 6.40 kJ per mole of atoms

(14)
# LaMoAs | Alexandria via LeMat-Bulk | GGA-PBE | optimized geometry
data_LaMoAs
_chemical_formula_sum 'La4 Mo4 As4'
_cell_length_a 7.033
_cell_length_b 7.033
_cell_length_c 7.033
_cell_angle_alpha 90.00
_cell_angle_beta 90.00
_cell_angle_gamma 90.00
_symmetry_space_group_name_H-M 'F -4 3 m'
_symmetry_Int_Tables_number 216
_symmetry_space_group_name_Hall 'F -4 2 3'
loop_
_atom_site_label
_atom_site_fract_x
_atom_site_fract_y
_atom_site_fract_z
_atom_site_occupancy
La1 0.000 0.000 0.000 1
Mo1 0.250 0.250 0.250 1
As1 0.250 0.250 0.750 1
# * final energy: -5.90 eV/atom
# * E_form: 87.39 kJ per mole of atoms

(15)
# LaMo2As | Alexandria via LeMat-Bulk | GGA-PBE | optimized geometry
data_LaMo2As
_chemical_formula_sum 'La1 Mo2 As1'
_cell_length_a 3.975
_cell_length_b 4.685
_cell_length_c 4.779
_cell_angle_alpha 90.00
_cell_angle_beta 93.50
_cell_angle_gamma 90.00
_symmetry_space_group_name_H-M 'P 1 2/m 1'
_symmetry_Int_Tables_number 10
loop_
_symmetry_equiv_pos_as_xyz
'x,y,z'
'-x,-y,-z'
'-x,y,-z'
'x,-y,z'
loop_
_atom_site_label
_atom_site_fract_x
_atom_site_fract_y
_atom_site_fract_z
_atom_site_occupancy
La1 0.000 0.000 0.000 1
Mo1 0.409 0.500 0.764 1
As1 0.500 0.000 0.500 1
# * final energy: -7.62 eV/atom
# * E_form: 17.92 kJ per mole of atoms

(16)
# LaMoAs | Alexandria via LeMat-Bulk | GGA-PBE | optimized geometry
data_LaMoAs
_chemical_formula_sum 'La4 Mo4 As4'
_cell_length_a 6.618
_cell_length_b 6.618
_cell_length_c 6.618
_cell_angle_alpha 90.00
_cell_angle_beta 90.00
_cell_angle_gamma 90.00
_symmetry_space_group_name_H-M 'F -4 3 m'
_symmetry_Int_Tables_number 216
_symmetry_space_group_name_Hall 'F -4 2 3'
loop_
_atom_site_label
_atom_site_fract_x
_atom_site_fract_y
_atom_site_fract_z
_atom_site_occupancy
La1 0.000 0.000 0.000 1
Mo1 0.000 0.000 0.500 1
As1 0.250 0.250 0.750 1
# * final energy: -6.72 eV/atom
# * E_form: 7.54 kJ per mole of atoms

(17)
# La2MoAs | Alexandria via LeMat-Bulk | GGA-PBE | optimized geometry
data_La2MoAs
_chemical_formula_sum 'La2 Mo1 As1'
_cell_length_a 3.466
_cell_length_b 3.466
_cell_length_c 8.634
_cell_angle_alpha 90.00
_cell_angle_beta 90.00
_cell_angle_gamma 90.00
_symmetry_space_group_name_H-M 'P 4 m m'
_symmetry_Int_Tables_number 99
loop_
_symmetry_equiv_pos_as_xyz
'x,y,z'
'-y,x,z'
'-x,-y,z'
'y,-x,z'
'-x,y,z'
'y,x,z'
'x,-y,z'
'-y,-x,z'
loop_
_atom_site_label
_atom_site_fract_x
_atom_site_fract_y
_atom_site_fract_z
_atom_site_occupancy
La1 0.000 0.000 0.000 1
La2 0.500 0.500 0.397 1
Mo1 0.000 0.000 0.646 1
As1 0.500 0.500 0.763 1
# * final energy: -6.54 eV/atom
# * E_form: -19.88 kJ per mole of atoms

(18)
# La3MoAs | Alexandria via LeMat-Bulk | GGA-PBE | optimized geometry
data_La3MoAs
_chemical_formula_sum 'La3 Mo1 As1'
_cell_length_a 5.416
_cell_length_b 5.416
_cell_length_c 5.416
_cell_angle_alpha 90.00
_cell_angle_beta 90.00
_cell_angle_gamma 90.00
_symmetry_space_group_name_H-M 'P m -3 m'
_symmetry_Int_Tables_number 221
_symmetry_space_group_name_Hall '-P 4 2 3'
loop_
_atom_site_label
_atom_site_fract_x
_atom_site_fract_y
_atom_site_fract_z
_atom_site_occupancy
La1 0.000 0.000 0.500 1
Mo1 0.000 0.000 0.000 1
As1 0.500 0.500 0.500 1
# * final energy: -6.10 eV/atom
# * E_form: -4.41 kJ per mole of atoms

(19)
# LaMo2As | Alexandria via LeMat-Bulk | GGA-PBE | optimized geometry
data_LaMo2As
_chemical_formula_sum 'La2 Mo4 As2'
_cell_length_a 3.220
_cell_length_b 5.388
_cell_length_c 9.110
_cell_angle_alpha 90.00
_cell_angle_beta 90.00
_cell_angle_gamma 90.00
_symmetry_space_group_name_H-M 'I m m m'
_symmetry_Int_Tables_number 71
_symmetry_space_group_name_Hall '-I 2 2'
loop_
_atom_site_label
_atom_site_fract_x
_atom_site_fract_y
_atom_site_fract_z
_atom_site_occupancy
La1 0.000 0.000 0.000 1
Mo1 0.000 0.500 0.217 1
As1 0.000 0.000 0.500 1
# * final energy: -7.47 eV/atom
# * E_form: 33.04 kJ per mole of atoms

(20)
# LaMo2As | Alexandria via LeMat-Bulk | GGA-PBE | optimized geometry
data_LaMo2As
_chemical_formula_sum 'La4 Mo8 As4'
_cell_length_a 4.375
_cell_length_b 4.375
_cell_length_c 18.664
_cell_angle_alpha 90.00
_cell_angle_beta 90.00
_cell_angle_gamma 90.00
_symmetry_space_group_name_H-M 'I -4 2 d'
_symmetry_Int_Tables_number 122
_symmetry_space_group_name_Hall 'I -4 2bw'
loop_
_atom_site_label
_atom_site_fract_x
_atom_site_fract_y
_atom_site_fract_z
_atom_site_occupancy
La1 0.000 0.000 0.000 1
Mo1 0.137 0.250 0.625 1
As1 0.000 0.000 0.500 1
# * final energy: -7.60 eV/atom
# * E_form: 20.64 kJ per mole of atoms

| no. | Fermi-level density of states (states/eV/f.u.) | total magnetization (μB/f.u.) |
| --- | --- | --- |
| 1 | 4.595 | 3.9 |
| 2 | 4.389 | 4.3 |
| 3 | 6.161 | 4.4 |
| 4 | 4.389 | 3.8 |
| 5 | 3.420 | 2.9 |
| 6 | 7.317 | 0.5 |
| 7 | 10.545 | 0.3 |
| 8 | 4.981 | 1.2 |
| 9 | 2.432 | 3.2 |
| 10 | 4.479 | 8.3 |
| 11 | 4.682 | 0.0 |
| 12 | 3.747 | 2.6 |
| 13 | 6.370 | 0.6 |
| 14 | 3.823 | 4.2 |
| 15 | 2.734 | 0.0 |
| 16 | 2.475 | 0.0 |
| 17 | 4.606 | 0.0 |
| 18 | 4.060 | 0.0 |
| 19 | 5.085 | 0.0 |
| 20 | 5.691 | 0.0 |